(1)
## Cs4Sm3PaS8 (PBE)

Data for an optimized crystal structure of Cs4Sm3PaS8.

```
16
Lattice="8.345 0.000 0.000 0.000 9.394 0.733 -4.173 -4.167 5.904" Properties=species:S:1:pos:R:3 pbc="T T T"
S -2.133 2.428 6.169
S 0.000 4.558 3.152
S 2.133 2.428 6.169
S 4.173 4.538 3.203
S 0.000 0.689 3.435
S 2.040 2.799 0.468
S 6.305 2.799 0.468
S 4.173 0.669 3.486
Cs 0.000 0.000 0.000
Cs 4.173 0.000 0.000
Cs 2.086 -2.084 2.952
Cs -2.086 -2.084 2.952
Sm 4.173 4.697 0.367
Sm 2.086 2.614 3.319
Sm -2.086 2.614 3.319
Pa 0.000 4.697 0.367
```

## Properties
**SG**: No. 166
**ΔE_f (raw)**: -1.712 eV per atom


(2)
## CsSmPaS4 (PBE)

Data for an optimized crystal structure of CsSmPaS4.

```
14
Lattice="-5.267 0.959 6.684 2.717 -7.926 -2.208 5.586 5.850 3.563" Properties=species:S:1:pos:R:3 pbc="T T T"
Pa 4.152 -1.038 0.677
Pa 1.518 -0.559 4.019
S 1.853 -2.112 1.763
S -2.167 1.883 5.786
S 0.020 1.485 3.011
S 3.015 -2.603 5.028
S 1.183 0.994 6.276
S -0.999 -1.291 4.884
S 4.034 0.173 3.154
S 5.202 -3.001 2.252
Sm 0.159 3.404 5.124
Sm -2.634 0.479 3.342
Cs -1.907 -4.321 4.603
Cs 4.943 3.203 3.436
```

## Properties
**SG**: No. 74
**ΔE_f (raw)**: -1.640 eV per atom


(3)
## Cs3Sm2PaS6 (PBE)

Data for an optimized crystal structure of Cs3Sm2PaS6.

```
12
Lattice="-4.702 -2.125 -5.013 5.076 -4.538 2.324 -5.130 -0.404 6.705" Properties=species:S:1:pos:R:3 pbc="T T T"
Sm -1.441 -2.930 -2.566
Sm 1.814 -3.733 -0.123
Cs 0.855 -4.332 4.434
Cs -5.612 -2.736 -0.418
Cs -2.378 -3.534 2.008
S -0.676 -4.992 -0.741
S -2.310 -5.895 4.568
S 0.721 -1.954 1.825
S -5.478 -5.113 2.191
S -2.447 -1.173 -0.553
S -4.081 -2.075 4.757
Pa 0.000 0.000 0.000
```

## Properties
**SG**: No. 12
**ΔE_f (raw)**: -1.682 eV per atom


(4)
## Cs2PaSn2S6 (PBE)

Data for an optimized crystal structure of Cs2PaSn2S6.

```
11
Lattice="-3.521 -0.188 6.695 -0.845 -5.586 -4.877 7.664 0.143 4.034" Properties=species:S:1:pos:R:3 pbc="T T T"
Sn 1.250 -0.587 0.641
Sn 2.047 -5.043 5.212
S 0.355 -5.089 -1.999
S -1.327 -5.179 1.200
S 1.598 -2.564 5.045
S 4.624 -0.452 4.653
S 1.699 -3.066 0.808
S 2.942 -0.541 7.851
Cs 4.777 -3.239 2.421
Cs -1.479 -2.392 3.431
Pa 2.071 -0.022 5.365
```

## Properties
**SG**: No. 12
**ΔE_f (raw)**: -1.005 eV per atom


(5)
## Cs2PaSnS5 (PBE)

Data for an optimized crystal structure of Cs2PaSnS5.

```
18
Lattice="-4.337 0.012 0.343 2.835 -4.645 8.421 0.600 13.293 7.131" Properties=species:S:1:pos:R:3 pbc="T T T"
S 0.765 5.720 9.481
S -1.372 10.385 9.892
S -1.684 10.536 5.942
S 0.837 -0.654 10.608
S -1.272 3.140 11.406
S 0.664 2.571 8.307
S -1.808 -0.190 4.734
S 0.114 -0.152 1.446
S -1.645 5.072 6.612
S 1.042 10.190 12.824
Pa -1.464 4.291 8.939
Pa 0.293 -1.584 3.762
Cs 0.540 7.918 6.559
Cs -1.540 -1.426 8.173
Cs 0.367 2.933 4.545
Cs -1.192 7.434 12.266
Sn -1.531 11.996 7.820
Sn 0.858 1.723 10.788
```

## Properties
**SG**: No. 36
**ΔE_f (raw)**: -1.157 eV per atom


(6)
## Cs4SrPa3S12 (PBE)

Data for an optimized crystal structure of Cs4SrPa3S12.

```
20
Lattice="9.396 0.000 0.000 -3.132 8.859 0.000 -3.132 -4.429 7.672" Properties=species:S:1:pos:R:3 pbc="T T T"
S 1.566 5.537 1.918
S -1.566 1.107 5.754
S 4.698 3.322 1.918
S 4.698 0.000 3.836
S 1.674 2.368 0.000
S 1.566 -1.107 5.754
S -1.566 4.429 3.836
S -4.590 3.245 5.621
S 4.590 -3.245 5.621
S -1.674 1.184 2.050
S 4.590 6.491 0.000
S 1.674 -1.184 2.050
Pa 3.132 4.429 0.000
Pa 3.132 -2.215 3.836
Pa -3.132 2.215 3.836
Cs -1.566 4.429 0.000
Cs 1.566 2.215 3.836
Cs -1.566 -2.215 3.836
Cs 4.698 0.000 0.000
Sr 0.000 0.000 0.000
```

## Properties
**SG**: No. 229
**ΔE_f (raw)**: -1.395 eV per atom